DFT (PBE) results for an optimized crystal structure of Rb2TcNiAu.

Summary:
Total moment (μB/f.u.): 3.52
DOS(E_F) (states/eV per cell): 3.3
Space-group type: P4/mmm (123)
Formation energy from the elements (eV/atom): 1.05
Energy (eV per cell): -16.09

abc: 6.730 6.730 4.464
angles: 90.00 90.00 90.00
Atoms (fractional coordinates):
1 Rb 0.000 0.500 0.000
2 Rb 0.500 0.000 0.000
3 Tc 0.000 0.000 0.000
4 Ni 0.000 0.000 0.500
5 Au 0.500 0.500 0.500

---

DFT (PBE) results for an optimized crystal structure of Zr3Co4.

Summary:
Total moment (μB/f.u.): 5.04
DOS(E_F) (states/eV per cell): 22.1
Space-group type: I4/mmm (139)
Formation energy from the elements (eV/atom): -0.03
Energy relative to the lowest polymorph listed for this composition (eV per formula unit): 1.65
Energy (eV per cell): -108.51

abc: 3.206 3.206 21.619
angles: 90.00 90.00 90.00
Atoms (fractional coordinates):
1 Zr 0.000 0.000 0.000
2 Zr 0.000 0.000 0.300
3 Zr 0.000 0.000 0.700
4 Zr 0.500 0.500 0.200
5 Zr 0.500 0.500 0.500
6 Zr 0.500 0.500 0.800
7 Co 0.000 0.000 0.130
8 Co 0.000 0.000 0.430
9 Co 0.000 0.000 0.570
10 Co 0.000 0.000 0.870
11 Co 0.500 0.500 0.070
12 Co 0.500 0.500 0.370
13 Co 0.500 0.500 0.630
14 Co 0.500 0.500 0.930